The following is a DFT calculation (GGA+U) of a relaxed Sc2VO5 crystal.

Calculated values
Total magnetization, Bohr magnetons per cell: 5.00
Total DFT energy (no corrections), eV/atom: -8.57
D(E_F), states/eV/f.u.: 1.025
ΔE to the lowest computed polymorph, meV/atom: 0.0
Crystal system: tetragonal

Unit cell a=9.2282 b=9.2282 c=9.2282 alpha=129.57 beta=129.57 gamma=74.09
Closest atoms and distances in Å follow each position.
Element x y z (fractional)
O1 0.7201 0.9461 0.6094  1 V 1.98, 3 Sc 2.09-2.20
O2 0.8893 0.2799 0.2260  1 V 1.98, 3 Sc 2.09-2.20
O3 0.5144 0.0633 0.9254  1 V 1.84
O4 0.3616 0.3616 0.0000  2 V 1.98
Sc1 0.7930 0.7470 0.6912  6 O 2.06-2.29
Sc2 0.2530 0.9442 0.0460  6 O 2.06-2.29
Sc3 0.0606 0.5606 0.5000  6 O 2.09-2.27
Sc4 0.4394 0.9394 0.5000  6 O 2.09-2.27
V1 0.2082 0.5157 0.8926  5 O 1.84-1.98
O5 0.4110 0.4856 0.5488  1 V 1.84
O6 0.5956 0.2491 0.8396  2 V 1.97-1.98
Sc5 0.3046 0.4628 0.2508  6 O 2.07-2.24
O7 0.0476 0.4963 0.2289  4 Sc 2.09-2.20
O8 0.5037 0.7327 0.5514  4 Sc 2.09-2.20
O9 0.9847 0.2469 0.5912  1 V 1.75
Sc6 0.5372 0.7880 0.8417  6 O 2.07-2.24
V2 0.6231 0.3156 0.1074  5 O 1.84-1.98
O10 0.1813 0.9524 0.4486  4 Sc 2.09-2.20
O11 0.9367 0.8621 0.4512  1 V 1.84
V3 0.4843 0.3769 0.6925  5 O 1.84-1.98
O12 0.0539 0.6633 0.7740  1 V 1.98, 3 Sc 2.09-2.20
O13 0.6557 0.3936 0.4088  1 V 1.75
Sc7 0.0558 0.1017 0.3088  6 O 2.06-2.29
O14 0.0000 0.0000 0.0000  4 Sc 2.06
Sc8 0.8983 0.2070 0.9540  6 O 2.06-2.29
O15 0.7509 0.5905 0.3465  2 V 1.97-1.98
V4 0.7500 0.2500 0.5000  4 O 1.75
O16 0.2440 0.4044 0.6535  2 V 1.97-1.98
O17 0.4095 0.7560 0.1604  2 V 1.97-1.98
O18 0.2673 0.8187 0.7711  4 Sc 2.09-2.20
Sc9 0.9463 0.6954 0.1583  6 O 2.07-2.24
O19 0.3367 0.1107 0.3906  1 V 1.98, 3 Sc 2.09-2.20
O20 0.7531 0.3443 0.7378  1 V 1.75
V5 0.6844 0.7918 0.3075  5 O 1.84-1.98
O21 0.1379 0.5890 0.0746  1 V 1.84
O22 0.8264 0.8264 0.0000  4 Sc 2.07-2.26
O23 0.6064 0.0153 0.2622  1 V 1.75
Sc10 0.2120 0.0537 0.7492  6 O 2.07-2.24
O24 0.1736 0.1736 0.0000  4 Sc 2.07-2.26
O25 0.6384 0.6384 0.0000  2 V 1.98